No. 1
Below is an optimized crystal structure of PmZrGa2, with properties calculated at the PBE level.

Computed properties:
Volume in Å³/atom: 21.665
Formation enthalpy at 0 K in eV per atom: -0.41
Total magnetization in μB per cell: 0.00

Cell and atoms, written as POSCAR:
```
PmZrGa2
1.0
5.201 0.000 0.000
0.000 5.201 0.000
0.000 0.000 3.204
Pm Zr Ga
1 1 2
Direct
0.000 0.000 0.000
0.500 0.500 0.000
0.000 0.500 0.500
0.500 0.000 0.500
```

No. 2
Below is an optimized crystal structure of PmZr2Ga, with properties calculated at the PBE level.

Computed properties:
Volume in Å³/atom: 22.803
Formation enthalpy at 0 K in eV per atom: -0.19
Total magnetization in μB per cell: 0.00
Relative energy among the computed polymorphs in kJ per mole of atoms: 0.0

Cell and atoms, written as POSCAR:
```
PmZr2Ga
1.0
4.517 0.000 0.000
0.000 4.517 0.000
0.000 0.000 4.470
Pm Zr Ga
1 2 1
Direct
0.000 0.000 0.000
0.000 0.500 0.500
0.500 0.000 0.500
0.500 0.500 0.000
```

No. 3
Below is an optimized crystal structure of PmZrGa6, with properties calculated at the PBE level.

Computed properties:
Volume in Å³/atom: 19.122
Formation enthalpy at 0 K in eV per atom: -0.50
Total magnetization in μB per cell: 0.00

Cell and atoms, written as POSCAR:
```
PmZrGa6
1.0
4.254 0.000 0.000
0.000 4.254 0.000
0.000 0.000 8.452
Pm Zr Ga
1 1 6
Direct
0.000 0.000 0.000
0.000 0.000 0.500
0.000 0.500 0.261
0.000 0.500 0.739
0.500 0.000 0.261
0.500 0.000 0.739
0.500 0.500 0.000
0.500 0.500 0.500
```

No. 4
Below is an optimized crystal structure of Pm2ZrGa3, with properties calculated at the PBE level.

Computed properties:
Volume in Å³/atom: 22.630
Formation enthalpy at 0 K in eV per atom: -0.54
Total magnetization in μB per cell: 0.00

Cell and atoms, written as POSCAR:
```
Pm2ZrGa3
1.0
5.984 0.000 0.000
-2.992 5.182 0.000
0.000 0.000 8.758
Pm Zr Ga
4 2 6
Direct
0.333 0.667 0.059
0.333 0.667 0.441
0.667 0.333 0.559
0.667 0.333 0.941
0.000 0.000 0.000
0.000 0.000 0.500
0.179 0.358 0.750
0.179 0.821 0.750
0.358 0.179 0.250
0.642 0.821 0.750
0.821 0.179 0.250
0.821 0.642 0.250
```

No. 5
Below is an optimized crystal structure of PmZr2Ga9, with properties calculated at the PBE level.

Computed properties:
Volume in Å³/atom: 18.597
Formation enthalpy at 0 K in eV per atom: -0.48
Total magnetization in μB per cell: 0.00

Cell and atoms, written as POSCAR:
```
PmZr2Ga9
1.0
4.225 0.000 0.000
0.000 4.225 0.000
0.000 0.000 12.501
Pm Zr Ga
1 2 9
Direct
0.000 0.000 0.000
0.000 0.000 0.341
0.000 0.000 0.659
0.000 0.500 0.178
0.000 0.500 0.500
0.000 0.500 0.822
0.500 0.000 0.178
0.500 0.000 0.500
0.500 0.000 0.822
0.500 0.500 0.000
0.500 0.500 0.336
0.500 0.500 0.664
```

No. 6
Below is an optimized crystal structure of PmZrGa4, with properties calculated at the PBE level.

Computed properties:
Volume in Å³/atom: 23.226
Formation enthalpy at 0 K in eV per atom: -0.27
Total magnetization in μB per cell: 0.00
Relative energy among the computed polymorphs in kJ per mole of atoms: 26.2

Cell and atoms, written as POSCAR:
```
PmZrGa4
1.0
3.448 -2.007 0.000
3.448 2.007 0.000
-2.263 0.000 10.069
Pm Zr Ga
1 1 4
Direct
0.000 0.000 0.000
0.500 0.500 0.500
0.111 0.111 0.333
0.406 0.406 0.212
0.594 0.594 0.788
0.889 0.889 0.667
```